Computed, not measured: a geometry-optimized Sc12In3Pd structure at the GGA-PBE level of DFT.

a b c (Å): 4.5214 4.5214 17.5965
angles (deg): 90.00 90.00 90.00
With the nearest neighbours (Å) after each atom.
Sites, in units of the cell vectors:
1 Sc 0.0000 0.0000 0.0000  8 Sc 3.00, 4 Pd 3.20
2 Sc 0.0000 0.0000 0.2418  4 In 3.20, 8 Sc 3.21
3 Sc 0.0000 0.0000 0.5000  8 Sc 3.20, 4 In 3.20
4 Sc 0.0000 0.0000 0.7582  4 In 3.20, 8 Sc 3.21
5 Sc 0.0000 0.5000 0.1124  8 Sc 3.00-3.21, 2 Pd 3.00, 2 In 3.23
6 Sc 0.0000 0.5000 0.3715  4 In 3.19-3.20, 8 Sc 3.20-3.21
7 Sc 0.0000 0.5000 0.6285  4 In 3.19-3.20, 8 Sc 3.20-3.21
8 Sc 0.0000 0.5000 0.8876  8 Sc 3.00-3.21, 2 Pd 3.00, 2 In 3.23
9 Sc 0.5000 0.0000 0.1124  8 Sc 3.00-3.21, 2 Pd 3.00, 2 In 3.23
10 Sc 0.5000 0.0000 0.3715  4 In 3.19-3.20, 8 Sc 3.20-3.21
11 Sc 0.5000 0.0000 0.6285  4 In 3.19-3.20, 8 Sc 3.20-3.21
12 Sc 0.5000 0.0000 0.8876  8 Sc 3.00-3.21, 2 Pd 3.00, 2 In 3.23
13 In 0.5000 0.5000 0.2433  12 Sc 3.19-3.23
14 In 0.5000 0.5000 0.5000  12 Sc 3.20
15 In 0.5000 0.5000 0.7567  12 Sc 3.19-3.23
16 Pd 0.5000 0.5000 0.0000  12 Sc 3.00-3.20

Summary:
The formation energy from the elements is -4.69 eV/f.u. Its space-group type is P4/mmm (123). The calculation puts the density of states at the Fermi level at 20.30 states/eV per cell.

***

Computed, not measured: a geometry-optimized ErCdAu structure at the GGA-PBE level of DFT.

a b c (Å): 4.7914 4.7914 3.3929
angles (deg): 90.00 90.00 120.00
With the nearest neighbours (Å) after each atom.
Sites, in units of the cell vectors:
1 Er 0.0000 0.0000 0.0000  6 Cd 3.25, 6 Au 3.25, 2 Er 3.39
2 Cd 0.3333 0.6667 0.5000  3 Au 2.77
3 Au 0.6667 0.3333 0.5000  3 Cd 2.77

Summary:
The formation energy from the elements is -1.63 eV/f.u. Its space-group type is P-6m2 (187). The calculation puts the density of states at the Fermi level at 2.07 states/eV per cell.

***

Computed, not measured: a geometry-optimized LaPr3Au4 structure at the GGA-PBE level of DFT.

a b c (Å): 6.5061 6.5061 6.5061
angles (deg): 109.47 109.47 109.47
With the nearest neighbours (Å) after each atom.
Sites, in units of the cell vectors:
1 La 0.0000 0.0000 0.0000  8 Au 3.25
2 Pr 0.0000 0.5000 0.5000  8 Au 3.25
3 Pr 0.5000 0.0000 0.5000  8 Au 3.25
4 Pr 0.5000 0.5000 0.0000  8 Au 3.25
5 Au 0.0000 0.0000 0.5000  2 La 3.25, 6 Pr 3.25
6 Au 0.0000 0.5000 0.0000  2 La 3.25, 6 Pr 3.25
7 Au 0.5000 0.0000 0.0000  2 La 3.25, 6 Pr 3.25
8 Au 0.5000 0.5000 0.5000  2 La 3.25, 6 Pr 3.25

Summary:
The formation energy from the elements is -5.98 eV/f.u. Its space-group type is Im-3m (229). The calculation puts the density of states at the Fermi level at 9.09 states/eV per cell.

***

Computed, not measured: a geometry-optimized CrIn2Si structure at the GGA-PBE level of DFT.

a b c (Å): 4.8834 4.8834 4.8834
angles (deg): 60.00 60.00 60.00
With the nearest neighbours (Å) after each atom.
Sites, in units of the cell vectors:
1 Cr 0.0000 0.0000 0.0000  4 In 2.99, 4 Si 2.99
2 In 0.5000 0.5000 0.5000  4 In 2.99, 4 Si 2.99
3 In 0.7500 0.7500 0.7500  4 Cr 2.99, 4 In 2.99
4 Si 0.2500 0.2500 0.2500  4 Cr 2.99, 4 In 2.99

Summary:
Its space-group type is F-43m (216). The calculation puts the uncorrected formation energy at 539 meV per atom. The calculation puts the density of states at the Fermi level at 2.41 states/eV per cell.